Material: Ca2Ge4Ir3Pd
Method: DFT, GGA-PBE
State: relaxed

a b c (Å): 4.249 4.249 10.320
angles (deg): 90.00 90.00 90.00
Space group P-4m2 (No. 115)
Asymmetric unit:
1 Ca 0.000 0.500 0.246 (multiplicity 2)
2 Ge 0.000 0.000 0.000 (multiplicity 1)
3 Ge 0.000 0.500 0.633 (multiplicity 2)
4 Ge 0.500 0.500 0.000 (multiplicity 1)
5 Ir 0.000 0.500 0.872 (multiplicity 2)
6 Ir 0.500 0.500 0.500 (multiplicity 1)
7 Pd 0.000 0.000 0.500 (multiplicity 1)

Computed properties:
Energy relative to the elements ... -637 meV/atom

Material: Ho2Si7Ir12
Method: DFT, GGA-PBE
State: relaxed

a b c (Å): 9.7439 9.7439 3.8884
angles (deg): 90.00 90.00 120.00
Space group P-3 (No. 147)
Asymmetric unit:
1 Ho 0.3333 0.6667 0.2490 (multiplicity 2)
2 Si 0.0000 0.0000 0.0000 (multiplicity 1)
3 Si 0.1157 0.4056 0.7484 (multiplicity 6)
4 Ir 0.0630 0.6189 0.7490 (multiplicity 6)
5 Ir 0.1168 0.8546 0.2464 (multiplicity 6)

Computed properties:
Formation energy without anion corrections ... -0.84 eV/atom

Going through the records in order, we get spin magnetization values of 0.000 0.000 μB/atom.
Going through the records in order, we get calculated volume values of 18.6 15.2 Å³/atom.